(1)
First-principles (PBE) data for crystalline SrMoBr2 at its relaxed geometry, as listed in Alexandria via LeMat-Bulk.

Properties
The magnetic moment is 23.973 μB per cell. The value obtained for the formation energy from raw total energies is 145 meV per atom.

Unit cell a=7.8686 b=7.8686 c=7.8686 alpha=90.00 beta=90.00 gamma=90.00
Last column: nearest neighbours and their distance in Å.
Fractional coordinates of all 16 atoms:
1 Sr 0.0000 0.0000 0.0000  4 Mo 3.41, 4 Br 3.41
2 Sr 0.0000 0.5000 0.5000  4 Mo 3.41, 4 Br 3.41
3 Sr 0.5000 0.0000 0.5000  4 Mo 3.41, 4 Br 3.41
4 Sr 0.5000 0.5000 0.0000  4 Mo 3.41, 4 Br 3.41
5 Mo 0.2500 0.2500 0.2500  4 Br 3.41, 4 Sr 3.41
6 Mo 0.2500 0.7500 0.7500  4 Br 3.41, 4 Sr 3.41
7 Mo 0.7500 0.2500 0.7500  4 Br 3.41, 4 Sr 3.41
8 Mo 0.7500 0.7500 0.2500  4 Br 3.41, 4 Sr 3.41
9 Br 0.0000 0.0000 0.5000  4 Mo 3.41, 4 Br 3.41
10 Br 0.0000 0.5000 0.0000  4 Mo 3.41, 4 Br 3.41
11 Br 0.2500 0.2500 0.7500  4 Br 3.41, 4 Sr 3.41
12 Br 0.2500 0.7500 0.2500  4 Br 3.41, 4 Sr 3.41
13 Br 0.5000 0.0000 0.0000  4 Mo 3.41, 4 Br 3.41
14 Br 0.5000 0.5000 0.5000  4 Mo 3.41, 4 Br 3.41
15 Br 0.7500 0.2500 0.2500  4 Br 3.41, 4 Sr 3.41
16 Br 0.7500 0.7500 0.7500  4 Br 3.41, 4 Sr 3.41

(2)
First-principles (PBE) data for crystalline SrMoBr2 at its relaxed geometry, as listed in Alexandria via LeMat-Bulk.

Properties
The magnetic moment is 4.028 μB per cell. The value obtained for the formation energy from raw total energies is -231 meV per atom.

Unit cell a=3.8999 b=5.3276 c=12.0027 alpha=90.00 beta=90.00 gamma=90.00
Last column: nearest neighbours and their distance in Å.
Fractional coordinates of all 8 atoms:
1 Sr 0.0000 0.0000 0.0000  4 Br 3.22, 4 Mo 3.30
2 Sr 0.5000 0.5000 0.5000  4 Br 3.22, 4 Mo 3.30
3 Mo 0.0000 0.0000 0.5000  4 Br 2.66
4 Mo 0.5000 0.5000 0.0000  4 Br 2.66
5 Br 0.0000 0.5000 0.1506  2 Mo 2.66
6 Br 0.0000 0.5000 0.8494  2 Mo 2.66
7 Br 0.5000 0.0000 0.3494  2 Mo 2.66
8 Br 0.5000 0.0000 0.6506  2 Mo 2.66

(3)
First-principles (PBE) data for crystalline SrMoBr2 at its relaxed geometry, as listed in Alexandria via LeMat-Bulk.

Properties
The magnetic moment is 15.099 μB per cell. The value obtained for the formation energy from raw total energies is -90 meV per atom.

Unit cell a=4.2000 b=4.2000 c=31.3480 alpha=90.00 beta=90.00 gamma=120.00
Last column: nearest neighbours and their distance in Å.
Fractional coordinates of all 12 atoms:
1 Sr 0.0000 0.0000 0.0000  6 Br 3.02
2 Sr 0.3333 0.6667 0.6667  6 Br 3.02
3 Sr 0.6667 0.3333 0.3333  6 Br 3.02
4 Mo 0.0000 0.0000 0.5000  6 Mo 4.20, 6 Br 4.20
5 Mo 0.3333 0.6667 0.1667  6 Mo 4.20, 6 Br 4.20
6 Mo 0.6667 0.3333 0.8333  6 Mo 4.20, 6 Br 4.20
7 Br 0.0000 0.0000 0.2762  3 Sr 3.02
8 Br 0.0000 0.0000 0.7238  3 Sr 3.02
9 Br 0.3333 0.6667 0.3905  3 Sr 3.02
10 Br 0.3333 0.6667 0.9428  3 Sr 3.02
11 Br 0.6667 0.3333 0.0572  3 Sr 3.02
12 Br 0.6667 0.3333 0.6095  3 Sr 3.02

(4)
First-principles (PBE) data for crystalline SrMoBr2 at its relaxed geometry, as listed in Alexandria via LeMat-Bulk.

Properties
The magnetic moment is 1.631 μB per cell. The value obtained for the formation energy from raw total energies is -202 meV per atom.

Unit cell a=3.6638 b=3.6638 c=29.5907 alpha=90.00 beta=90.00 gamma=120.00
Last column: nearest neighbours and their distance in Å.
Fractional coordinates of all 12 atoms:
1 Sr 0.0000 0.0000 0.0000  3 Br 2.96
2 Sr 0.3333 0.6667 0.6667  3 Br 2.96
3 Sr 0.6667 0.3333 0.3333  3 Br 2.96
4 Mo 0.0000 0.0000 0.2410  3 Br 2.60
5 Mo 0.3333 0.6667 0.9076  3 Br 2.60
6 Mo 0.6667 0.3333 0.5743  3 Br 2.60
7 Br 0.0000 0.0000 0.5234  3 Mo 2.60
8 Br 0.0000 0.0000 0.7368  3 Sr 2.96
9 Br 0.3333 0.6667 0.1900  3 Mo 2.60
10 Br 0.3333 0.6667 0.4035  3 Sr 2.96
11 Br 0.6667 0.3333 0.0701  3 Sr 2.96
12 Br 0.6667 0.3333 0.8567  3 Mo 2.60

(5)
First-principles (PBE) data for crystalline SrMoBr2 at its relaxed geometry, as listed in Alexandria via LeMat-Bulk.

Properties
The magnetic moment is 3.875 μB per cell. The value obtained for the formation energy from raw total energies is -77 meV per atom.

Unit cell a=3.8593 b=4.6224 c=6.4068 alpha=90.00 beta=90.00 gamma=90.00
Last column: nearest neighbours and their distance in Å.
Fractional coordinates of all 4 atoms:
1 Sr 0.0000 0.0000 0.0000  4 Br 3.01
2 Mo 0.5000 0.0000 0.5000  4 Br 3.01
3 Br 0.0000 0.5000 0.5000  4 Mo 3.01
4 Br 0.5000 0.5000 0.0000  4 Sr 3.01

(6)
First-principles (PBE) data for crystalline SrMoBr2 at its relaxed geometry, as listed in Alexandria via LeMat-Bulk.

Properties
The magnetic moment is 1.781 μB per cell. The value obtained for the formation energy from raw total energies is 87 meV per atom.

Unit cell a=3.5281 b=3.5281 c=28.8153 alpha=90.00 beta=90.00 gamma=120.00
Last column: nearest neighbours and their distance in Å.
Fractional coordinates of all 12 atoms:
1 Sr 0.0000 0.0000 0.0000  6 Br 3.05
2 Sr 0.3333 0.6667 0.6667  6 Br 3.05
3 Sr 0.6667 0.3333 0.3333  6 Br 3.05
4 Mo 0.0000 0.0000 0.5000  2 Br 2.53
5 Mo 0.3333 0.6667 0.1667  2 Br 2.53
6 Mo 0.6667 0.3333 0.8333  2 Br 2.53
7 Br 0.0000 0.0000 0.4122  1 Mo 2.53
8 Br 0.0000 0.0000 0.5878  1 Mo 2.53
9 Br 0.3333 0.6667 0.0789  1 Mo 2.53
10 Br 0.3333 0.6667 0.2545  1 Mo 2.53
11 Br 0.6667 0.3333 0.7455  1 Mo 2.53
12 Br 0.6667 0.3333 0.9211  1 Mo 2.53

(7)
First-principles (PBE) data for crystalline SrMoBr2 at its relaxed geometry, as listed in Alexandria via LeMat-Bulk.

Properties
The magnetic moment is 16.091 μB per cell. The value obtained for the formation energy from raw total energies is -97 meV per atom.

Unit cell a=5.3513 b=5.3513 c=17.7519 alpha=90.00 beta=90.00 gamma=90.00
Last column: nearest neighbours and their distance in Å.
Fractional coordinates of all 16 atoms:
1 Sr 0.0000 0.0000 0.0000  4 Br 3.04
2 Sr 0.0000 0.5000 0.2500  4 Br 3.04
3 Sr 0.5000 0.0000 0.7500  4 Br 3.04
4 Sr 0.5000 0.5000 0.5000  4 Br 3.04
5 Mo 0.0000 0.0000 0.5000  4 Br 2.81
6 Mo 0.0000 0.5000 0.7500  4 Br 2.81
7 Mo 0.5000 0.0000 0.2500  4 Br 2.81
8 Mo 0.5000 0.5000 0.0000  4 Br 2.81
9 Br 0.2034 0.2500 0.6250  2 Mo 2.81, 2 Sr 3.04
10 Br 0.2500 0.7034 0.8750  2 Mo 2.81, 2 Sr 3.04
11 Br 0.2500 0.7966 0.3750  2 Mo 2.81, 2 Sr 3.04
12 Br 0.2966 0.2500 0.1250  2 Mo 2.81, 2 Sr 3.04
13 Br 0.7034 0.7500 0.1250  2 Mo 2.81, 2 Sr 3.04
14 Br 0.7500 0.2034 0.3750  2 Mo 2.81, 2 Sr 3.04
15 Br 0.7500 0.2966 0.8750  2 Mo 2.81, 2 Sr 3.04
16 Br 0.7966 0.7500 0.6250  2 Mo 2.81, 2 Sr 3.04

(8)
First-principles (PBE) data for crystalline Sr2MoBr2 at its relaxed geometry, as listed in Alexandria via LeMat-Bulk.

Properties
The magnetic moment is 9.749 μB per cell. The value obtained for the formation energy from raw total energies is -293 meV per atom.

Unit cell a=4.9785 b=4.9785 c=15.2900 alpha=90.00 beta=90.00 gamma=90.00
Last column: nearest neighbours and their distance in Å.
Fractional coordinates of all 10 atoms:
1 Sr 0.0000 0.0000 0.1279  4 Br 3.11
2 Sr 0.0000 0.0000 0.8721  4 Br 3.11
3 Sr 0.5000 0.5000 0.3721  4 Br 3.11
4 Sr 0.5000 0.5000 0.6279  4 Br 3.11
5 Mo 0.0000 0.0000 0.5000  8 Sr 4.03
6 Mo 0.5000 0.5000 0.0000  8 Sr 4.03
7 Br 0.0000 0.5000 0.2500  4 Sr 3.11
8 Br 0.0000 0.5000 0.7500  4 Sr 3.11
9 Br 0.5000 0.0000 0.2500  4 Sr 3.11
10 Br 0.5000 0.0000 0.7500  4 Sr 3.11